## Ba2ZnInNi (GGA-PBE)

Data for a relaxed Ba2ZnInNi crystal.

Output
M_tot (μB per atom): 0.00
Energy above the lowest structure with this stoichiometry (kJ/mol of formula units): 0

a = 5.971 Å, b = 5.971 Å, c = 4.693 Å
α = 90.00°, β = 90.00°, γ = 90.00°
Space group P4/mmm (No. 123)
Unique sites:
Ba (0.000, 0.500, 0.000) x2
Zn (0.000, 0.000, 0.500) x1
In (0.500, 0.500, 0.500) x1
Ni (0.000, 0.000, 0.000) x1